A relaxed structure of ZnSe, computed with PBE-GGA.

Magnetization (μB per atom): 0.000
VASP energy (eV/atom): -2.985
Crystal system: trigonal
Uncorrected formation energy (eV/atom): -0.605

Lattice parameters (Å, degrees): 4.0837 4.0837 7.1243 90.00 90.00 120.00
Positions (direct):
1 Zn 0.3333 0.6667 0.1339
2 Zn 0.6667 0.3333 0.8661
3 Se 0.3333 0.6667 0.7604
4 Se 0.6667 0.3333 0.2396

A relaxed structure of SbMoPb2, computed with PBE-GGA.

Magnetization (μB per atom): 0.000
VASP energy (eV/atom): -5.277
Crystal system: monoclinic
Uncorrected formation energy (eV/atom): 0.315

Lattice parameters (Å, degrees): 5.1231 5.1231 7.3174 108.90 108.90 37.79
Positions (direct):
1 Sb 0.0000 0.0000 0.0000
2 Mo 0.7171 0.7171 0.9955
3 Pb 0.1772 0.1772 0.6498
4 Pb 0.3545 0.3545 0.3478

| no. | calculated density (Mg/m³) |
| --- | --- |
| 1 | 4.66 |
| 2 | 9.49 |